Below is PrThGe4 after structural relaxation, with properties calculated at the PBE-GGA level.

Calculated values
- SG: F-43m
- Size of the total moment: 0.000 μB per cell
- Formation energy from the elements: -0.32 eV/atom

Cell: 5.720 5.720 5.720 Å, 60.00 60.00 60.00°
Sites, in units of the cell vectors:
Pr 0.000 0.000 0.000
Th 0.250 0.250 0.250
Ge 0.124 0.625 0.625
Ge 0.625 0.124 0.625
Ge 0.625 0.625 0.124
Ge 0.625 0.625 0.625